No. 1
Entry from Alexandria: a relaxed Tb2ScRu2 crystal (PBE).

Summary:
Raw total energy: -7.21 eV per atom
Formation energy from the elements: -383 meV/atom

Lattice parameters (Å, degrees): 5.6766 5.6766 5.6766 136.96 116.25 80.03
Fractional coordinates of all 5 atoms:
1 Tb 0.2001 0.2001 0.0000
2 Tb 0.7999 0.7999 0.0000
3 Sc 0.5000 0.0000 0.5000
4 Ru 0.2263 0.5000 0.7263
5 Ru 0.7737 0.5000 0.2737

---

No. 2
Entry from Alexandria: a relaxed Tb2ScRu crystal (PBE).

Summary:
Raw total energy: -6.06 eV per atom
Formation energy from the elements: 159 meV/atom

Lattice parameters (Å, degrees): 10.5610 10.5610 10.5610 18.53 18.53 18.53
Fractional coordinates of all 4 atoms:
1 Tb 0.1029 0.1029 0.1029
2 Tb 0.8971 0.8971 0.8971
3 Sc 0.0000 0.0000 0.0000
4 Ru 0.5000 0.5000 0.5000

---

No. 3
Entry from Alexandria: a relaxed TbSc2Ru crystal (PBE).

Summary:
Raw total energy: -6.74 eV per atom
Formation energy from the elements: -93 meV/atom

Lattice parameters (Å, degrees): 9.8657 9.8657 9.8657 19.21 19.21 19.21
Fractional coordinates of all 4 atoms:
1 Tb 0.0000 0.0000 0.0000
2 Sc 0.2316 0.2316 0.2316
3 Sc 0.7684 0.7684 0.7684
4 Ru 0.5000 0.5000 0.5000

---

No. 4
Entry from Alexandria: a relaxed Tb3ScRu3 crystal (PBE).

Summary:
Raw total energy: -7.23 eV per atom
Formation energy from the elements: -361 meV/atom

Lattice parameters (Å, degrees): 5.7517 5.7517 5.7517 109.17 109.17 109.17
Fractional coordinates of all 7 atoms:
1 Tb 0.0576 0.4712 0.4712
2 Tb 0.4712 0.0576 0.4712
3 Tb 0.4712 0.4712 0.0576
4 Sc 0.8843 0.8843 0.8843
5 Ru 0.4768 0.9687 0.9687
6 Ru 0.9687 0.4768 0.9687
7 Ru 0.9687 0.9687 0.4768

---

No. 5
Entry from Alexandria: a relaxed TbSc2Ru crystal (PBE).

Summary:
Raw total energy: -6.97 eV per atom
Formation energy from the elements: -331 meV/atom

Lattice parameters (Å, degrees): 6.0030 6.0030 8.5250 90.00 90.00 143.15
Fractional coordinates of all 8 atoms:
1 Tb 0.0665 0.9335 0.7500
2 Tb 0.9335 0.0665 0.2500
3 Sc 0.3528 0.6472 0.5661
4 Sc 0.3528 0.6472 0.9339
5 Sc 0.6472 0.3528 0.0661
6 Sc 0.6472 0.3528 0.4339
7 Ru 0.2489 0.7511 0.2500
8 Ru 0.7511 0.2489 0.7500

---

No. 6
Entry from Alexandria: a relaxed Tb2Sc3Ru2 crystal (PBE).

Summary:
Raw total energy: -7.05 eV per atom
Formation energy from the elements: -367 meV/atom

Lattice parameters (Å, degrees): 5.9364 5.9364 8.1367 113.46 113.46 37.74
Fractional coordinates of all 7 atoms:
1 Tb 0.1554 0.1554 0.2977
2 Tb 0.8446 0.8446 0.7023
3 Sc 0.3731 0.3731 0.0722
4 Sc 0.5000 0.5000 0.5000
5 Sc 0.6269 0.6269 0.9278
6 Ru 0.1648 0.1648 0.7208
7 Ru 0.8352 0.8352 0.2792